1.
A plane-wave DFT calculation with PBE was carried out for IrRh3 after structural relaxation.

Properties
- DFT formation energy (meV per atom) = 384
- total moment (μB per formula unit) = 2.50
- V (Å³ per cell) = 59.0

abc: 4.369 4.369 4.369
angles: 60.00 60.00 60.00
Last column: magnetic moment on the atom in μB.
Positions (direct):
Ir (0.000, 0.000, 0.000)  0.73
Rh (0.250, 0.250, 0.250)  0.60
Rh (0.750, 0.750, 0.750)  0.60
Rh (0.500, 0.500, 0.500)  0.56

---

2.
A plane-wave DFT calculation with PBE was carried out for V2Ga2Ge after structural relaxation.

Properties
- DFT formation energy (meV per atom) = 93
- total moment (μB per formula unit) = 0.01
- V (Å³ per cell) = 78.8

abc: 3.514 3.514 6.848
angles: 75.13 75.13 90.00
Positions (direct):
V (0.411, 0.411, 0.178)
V (0.589, 0.589, 0.822)
Ga (0.250, 0.750, 0.500)
Ga (0.750, 0.250, 0.500)
Ge (0.000, 0.000, 0.000)

---

3.
A plane-wave DFT calculation with PBE was carried out for LiIn2Mo after structural relaxation.

Properties
- DFT formation energy (meV per atom) = 92
- total moment (μB per formula unit) = 0.00
- V (Å³ per cell) = 73.7

abc: 7.286 4.886 3.095
angles: 89.98 64.88 127.62
Positions (direct):
Li (0.000, 0.500, 0.500)
Mo (0.500, 0.500, 0.000)
In (0.500, 0.000, 0.500)
In (0.000, 0.000, 0.000)

---

Q: Look up the V of the first one.
A: 59.0 Å³ per cell